Compound: HfNiPd
Source: Alexandria via LeMat-Bulk
Functional: PBE
Structure: optimized geometry

Calculated formation energy: -1.749 eV/f.u.
Symmetry: P2_1/m, No. 11

a b c (Å): 4.727 4.876 9.609
angles (deg): 121.14 90.00 90.00
Sites, in units of the cell vectors:
Hf  0.750  0.743  0.616
Hf  0.250  0.257  0.884
Hf  0.250  0.257  0.384
Hf  0.750  0.743  0.116
Ni  0.250  0.941  0.557
Ni  0.250  0.941  0.057
Ni  0.750  0.059  0.443
Ni  0.750  0.059  0.943
Pd  0.750  0.385  0.278
Pd  0.750  0.385  0.778
Pd  0.250  0.615  0.722
Pd  0.250  0.615  0.222